No. 1
VASP calculation (PBE-GGA) on a relaxed BaRe2BS crystal.

Geometry as extended XYZ:
```
5
Lattice="4.178 0.000 0.000 0.000 4.178 0.000 0.000 0.000 5.992" Properties=species:S:1:pos:R:3 pbc="T T T"
Ba 0.000 0.000 0.000
Re 0.000 2.089 2.996
Re 2.089 0.000 2.996
B 0.000 0.000 2.996
S 2.089 2.089 0.000
```

Total moment in Bohr magnetons per cell: 0.83
E above lowest polymorph in meV/atom: 0.0
Raw formation energy in eV/atom: 0.735
SG: P4/mmm (123)

No. 2
VASP calculation (PBE-GGA) on a relaxed BaRe2BS crystal.

Geometry as extended XYZ:
```
5
Lattice="5.373 0.000 0.000 0.000 5.373 0.000 0.000 0.000 4.684" Properties=species:S:1:pos:R:3 pbc="T T T"
Ba 0.000 0.000 0.000
Re 0.000 2.687 0.000
Re 2.687 0.000 0.000
B 0.000 0.000 2.342
S 2.687 2.687 2.342
```

Total moment in Bohr magnetons per cell: 5.82
E above lowest polymorph in meV/atom: 3039.9
Raw formation energy in eV/atom: 3.775
SG: P4/mmm (123)

No. 3
VASP calculation (PBE-GGA) on a relaxed BaTa2ReB crystal.

Geometry as extended XYZ:
```
5
Lattice="5.141 0.000 0.000 0.000 5.141 0.000 0.000 0.000 4.093" Properties=species:S:1:pos:R:3 pbc="T T T"
Ba 0.000 0.000 0.000
Ta 0.000 2.571 0.000
Ta 2.571 0.000 0.000
Re 2.571 2.571 2.047
B 0.000 0.000 2.047
```

Total moment in Bohr magnetons per cell: 0.00
SG: P4/mmm (123)
Energy of formation in kJ/mol of formula units: 1714

No. 4
VASP calculation (PBE-GGA) on a relaxed BaZn2ReB crystal.

Geometry as extended XYZ:
```
5
Lattice="4.978 0.000 0.000 0.000 4.978 0.000 0.000 0.000 4.281" Properties=species:S:1:pos:R:3 pbc="T T T"
Ba 0.000 0.000 0.000
Zn 0.000 2.489 2.141
Zn 2.489 0.000 2.141
Re 2.489 2.489 2.141
B 2.489 2.489 0.000
```

Total moment in Bohr magnetons per cell: 0.00
SG: P4/mmm (123)
Energy of formation in kJ/mol of formula units: 109

Question: What is the formula in the first record?
Answer: BaRe2BS